This record from the Alexandria database describes a relaxed structure of In4Br3Cl2. The functional is PBE.

Properties
- Space group: C2/c
- Raw formation energy: -0.706 eV/atom

Cell: 9.8309 9.8309 6.4921 Å, 101.57 101.57 76.54°
Closest atoms and distances in Å follow each position.
Element x y z (fractional)
In 0.0553 0.7418 0.9491  5 Br 3.14-3.51, 1 Cl 3.22, 1 In 3.47
In 0.1728 0.4494 0.5845  2 Cl 2.72-2.75, 1 Br 2.84
In 0.2582 0.9447 0.5509  5 Br 3.14-3.51, 1 Cl 3.22, 1 In 3.47
In 0.4494 0.1728 0.0845  2 Cl 2.72-2.75, 1 Br 2.84
In 0.5506 0.8272 0.9155  2 Cl 2.72-2.75, 1 Br 2.84
In 0.7418 0.0553 0.4491  5 Br 3.14-3.51, 1 Cl 3.22, 1 In 3.47
In 0.8272 0.5506 0.4155  2 Cl 2.72-2.75, 1 Br 2.84
In 0.9447 0.2582 0.0509  5 Br 3.14-3.51, 1 Cl 3.22, 1 In 3.47
Br 0.0036 0.2055 0.5720  5 In 3.14-3.44
Br 0.2055 0.0036 0.0720  5 In 3.14-3.44
Br 0.3764 0.6236 0.7500  2 In 2.84
Br 0.6236 0.3764 0.2500  2 In 2.84
Br 0.7945 0.9964 0.9280  5 In 3.14-3.44
Br 0.9964 0.7945 0.4280  5 In 3.14-3.44
Cl 0.2268 0.3905 0.1782  2 In 2.72-2.75
Cl 0.3905 0.2268 0.6782  2 In 2.72-2.75
Cl 0.6095 0.7732 0.3218  2 In 2.72-2.75
Cl 0.7732 0.6095 0.8218  2 In 2.72-2.75

***

This record from the Alexandria database describes a relaxed structure of CsPdPt. The functional is PBE.

Properties
- Space group: P2_12_12_1
- ΔE to the lowest computed polymorph: 0.0 meV per atom
- ΔE_f: -0.079 eV/atom

Cell: 4.6560 5.4007 12.5864 Å, 90.00 90.00 90.00°
Closest atoms and distances in Å follow each position.
Element x y z (fractional)
Cs 0.2501 0.1246 0.2248  2 Pd 3.13-3.44
Cs 0.2499 0.8754 0.7248  2 Pd 3.13-3.44
Cs 0.7501 0.3754 0.7752  2 Pd 3.13-3.44
Cs 0.7499 0.6246 0.2752  2 Pd 3.13-3.44
Pd 0.2477 0.8723 0.4761  4 Pt 2.71-2.72, 2 Pd 2.74
Pd 0.2523 0.1277 0.9761  4 Pt 2.71-2.72, 2 Pd 2.74
Pd 0.7477 0.6277 0.5239  4 Pt 2.71-2.72, 2 Pd 2.74
Pd 0.7523 0.3723 0.0239  4 Pt 2.71-2.72, 2 Pd 2.74
Pt 0.2478 0.3712 0.5013  2 Pt 2.67, 4 Pd 2.71-2.72
Pt 0.2522 0.6288 0.0013  2 Pt 2.67, 4 Pd 2.71-2.72
Pt 0.7478 0.1288 0.4987  2 Pt 2.67, 4 Pd 2.71-2.72
Pt 0.7522 0.8712 0.9987  2 Pt 2.67, 4 Pd 2.71-2.72

***

This record from the Alexandria database describes a relaxed structure of Tm2Tl3Zn. The functional is PBE.

Properties
- Space group: Ibam
- ΔE_f: -0.118 eV/atom

Cell: 8.6614 8.6614 8.6614 Å, 136.04 63.90 136.06°
Closest atoms and distances in Å follow each position.
Element x y z (fractional)
Tm 0.1501 0.2465 0.3966  7 Tl 3.05-3.38, 2 Zn 3.19
Tm 0.3499 0.7465 0.0964  7 Tl 3.05-3.38, 2 Zn 3.19
Tm 0.6501 0.2535 0.9036  7 Tl 3.05-3.38, 2 Zn 3.19
Tm 0.8499 0.7535 0.6034  7 Tl 3.05-3.38, 2 Zn 3.19
Tl 0.1425 0.7254 0.8679  2 Zn 3.02, 5 Tm 3.05-3.38, 2 Tl 3.19
Tl 0.2500 0.2500 0.0000  4 Tm 3.17, 6 Tl 3.19-3.24, 2 Zn 3.24
Tl 0.3575 0.2254 0.5829  2 Zn 3.02, 5 Tm 3.05-3.38, 2 Tl 3.19
Tl 0.6425 0.7746 0.4171  2 Zn 3.02, 5 Tm 3.05-3.38, 2 Tl 3.19
Tl 0.7500 0.7500 0.0000  4 Tm 3.17, 6 Tl 3.19-3.24, 2 Zn 3.24
Tl 0.8575 0.2746 0.1321  2 Zn 3.02, 5 Tm 3.05-3.38, 2 Tl 3.19
Zn 0.2500 0.7500 0.5000  6 Tl 3.02-3.24, 4 Tm 3.19, 2 Zn 3.24
Zn 0.7500 0.2500 0.5000  6 Tl 3.02-3.24, 4 Tm 3.19, 2 Zn 3.24

***

This record from the Alexandria database describes a relaxed structure of HfThTe4. The functional is PBE.

Properties
- Space group: C2/m
- Raw formation energy: -0.853 eV/atom
- ΔE to the lowest computed polymorph: 101.9 meV per atom

Cell: 9.1238 9.1238 9.2138 Å, 90.25 90.25 35.83°
Closest atoms and distances in Å follow each position.
Element x y z (fractional)
Hf 0.0850 0.0850 0.1590  6 Te 2.83-2.94
Hf 0.9150 0.9150 0.8410  6 Te 2.83-2.94
Th 0.2556 0.2556 0.7330  6 Te 3.12-3.33
Th 0.7444 0.7444 0.2670  6 Te 3.12-3.33
Te 0.0817 0.0817 0.8480  2 Hf 2.87-2.90, 1 Th 3.20
Te 0.1649 0.1649 0.4370  1 Hf 2.91, 1 Th 3.14
Te 0.2503 0.2503 0.0937  1 Hf 2.94, 2 Th 3.23
Te 0.4304 0.4304 0.8147  2 Hf 2.83, 1 Th 3.12
Te 0.5696 0.5696 0.1853  2 Hf 2.83, 1 Th 3.12
Te 0.7497 0.7497 0.9063  1 Hf 2.94, 2 Th 3.23
Te 0.8351 0.8351 0.5630  1 Hf 2.91, 1 Th 3.14
Te 0.9183 0.9183 0.1520  2 Hf 2.87-2.90, 1 Th 3.20

***

This record from the Alexandria database describes a relaxed structure of MnTl3Bi2Se6. The functional is PBE.

Properties
- Space group: C2/m
- Raw formation energy: -0.420 eV/atom

Cell: 7.1897 7.1897 7.9341 Å, 98.75 98.75 119.47°
Closest atoms and distances in Å follow each position.
Element x y z (fractional)
Mn 0.0000 0.0000 0.0000  6 Se 2.62-2.74
Tl 0.1761 0.8239 0.5000  6 Se 3.24-3.42
Tl 0.5000 0.5000 0.5000  6 Se 3.23-3.40
Tl 0.8239 0.1761 0.5000  6 Se 3.24-3.42
Bi 0.3352 0.6648 0.0000  6 Se 2.96-2.97
Bi 0.6648 0.3352 0.0000  6 Se 2.96-2.97
Se 0.0653 0.3637 0.1991  1 Mn 2.62
Se 0.2333 0.2333 0.7859  1 Mn 2.74, 2 Bi 2.97
Se 0.3637 0.0653 0.1991  1 Mn 2.62
Se 0.6363 0.9347 0.8009  1 Mn 2.62
Se 0.7667 0.7667 0.2141  1 Mn 2.74, 2 Bi 2.97
Se 0.9347 0.6363 0.8009  1 Mn 2.62

***

This record from the Alexandria database describes a relaxed structure of Cs2NiSbCl6. The functional is PBE.

Properties
- Space group: Fm-3m
- Raw formation energy: -1.189 eV/atom

Cell: 7.3667 7.3667 7.3667 Å, 60.00 60.00 60.00°
Closest atoms and distances in Å follow each position.
Element x y z (fractional)
Cs 0.2500 0.2500 0.2500  12 Cl 3.69
Cs 0.7500 0.7500 0.7500  12 Cl 3.69
Ni 0.0000 0.0000 0.0000  6 Cl 2.49
Sb 0.5000 0.5000 0.5000  6 Cl 2.72
Cl 0.2387 0.2387 0.7613  1 Ni 2.49, 1 Sb 2.72
Cl 0.2387 0.7613 0.2387  1 Ni 2.49, 1 Sb 2.72
Cl 0.2387 0.7613 0.7613  1 Ni 2.49, 1 Sb 2.72
Cl 0.7613 0.2387 0.2387  1 Ni 2.49, 1 Sb 2.72
Cl 0.7613 0.2387 0.7613  1 Ni 2.49, 1 Sb 2.72
Cl 0.7613 0.7613 0.2387  1 Ni 2.49, 1 Sb 2.72

***

This record from the Alexandria database describes a relaxed structure of ScRe2Hg. The functional is PBE.

Properties
- Space group: P4/mmm
- ΔE_f: 0.543 eV/atom

Cell: 3.5301 3.5301 5.9275 Å, 90.00 90.00 90.00°
Closest atoms and distances in Å follow each position.
Element x y z (fractional)
Sc 0.0000 0.0000 0.0000  8 Re 2.77, 2 Hg 2.96
Re 0.5000 0.5000 0.2022  1 Re 2.40
Re 0.5000 0.5000 0.7978  1 Re 2.40
Hg 0.0000 0.0000 0.5000  2 Sc 2.96, 8 Re 3.06

***

This record from the Alexandria database describes a relaxed structure of LiNd3Cu8. The functional is PBE.

Properties
- Space group: R3m
- ΔE_f: -0.111 eV/atom

Cell: 9.1821 9.1821 9.1821 Å, 33.15 33.15 33.15°
Closest atoms and distances in Å follow each position.
Element x y z (fractional)
Li 0.0000 0.0000 0.0000  12 Cu 2.96-3.11, 4 Nd 3.11-3.13
Nd 0.1197 0.1197 0.1197  9 Cu 2.98-3.12, 1 Li 3.11
Nd 0.5097 0.5097 0.5097  12 Cu 3.03-3.25, 4 Nd 3.28-3.36
Nd 0.6359 0.6359 0.6359  12 Cu 2.93-3.15, 3 Li 3.13
Cu 0.0676 0.0676 0.5707  6 Cu 2.60-2.70
Cu 0.0676 0.5707 0.0676  6 Cu 2.60-2.70
Cu 0.0737 0.5603 0.5603  6 Cu 2.55-2.69
Cu 0.3180 0.3180 0.3180  6 Cu 2.55-2.63
Cu 0.5603 0.0737 0.5603  6 Cu 2.55-2.69
Cu 0.5603 0.5603 0.0737  6 Cu 2.55-2.69
Cu 0.5707 0.0676 0.0676  6 Cu 2.60-2.70
Cu 0.8157 0.8157 0.8157  6 Cu 2.68-2.70

***

This record from the Alexandria database describes a relaxed structure of KSn2PbAu2. The functional is PBE.

Properties
- Space group: P-3m1
- ΔE_f: -0.184 eV/atom

Cell: 4.9491 4.9491 8.1328 Å, 90.00 90.00 120.00°
Closest atoms and distances in Å follow each position.
Element x y z (fractional)
K 0.0000 0.0000 0.0000  6 Sn 3.70, 6 Au 3.85, 2 Pb 4.07
Sn 0.3333 0.6667 0.7104  4 Au 2.87-3.20
Sn 0.6667 0.3333 0.2896  4 Au 2.87-3.20
Pb 0.0000 0.0000 0.5000  6 Au 3.22, 6 Sn 3.33
Au 0.3333 0.6667 0.3173  4 Sn 2.87-3.20
Au 0.6667 0.3333 0.6827  4 Sn 2.87-3.20

***

This record from the Alexandria database describes a relaxed structure of ZrSi2AsOs. The functional is PBE.

Properties
- Space group: P4/mmm
- Raw formation energy: 0.988 eV/atom
- ΔE to the lowest computed polymorph: 854.7 meV per atom

Cell: 4.7626 4.7626 4.4543 Å, 90.00 90.00 90.00°
Closest atoms and distances in Å follow each position.
Element x y z (fractional)
Zr 0.0000 0.0000 0.0000  8 Si 3.26, 4 Os 3.37
Si 0.0000 0.5000 0.5000  2 As 2.38
Si 0.5000 0.0000 0.5000  2 As 2.38
As 0.5000 0.5000 0.5000  2 Os 2.23, 4 Si 2.38
Os 0.5000 0.5000 0.0000  2 As 2.23

***

This record from the Alexandria database describes a relaxed structure of AlInPt2. The functional is PBE.

Properties
- Space group: P4mm
- ΔE_f: -0.544 eV/atom

Cell: 3.5426 3.5426 5.5408 Å, 90.00 90.00 90.00°
Closest atoms and distances in Å follow each position.
Element x y z (fractional)
Al 0.0000 0.0000 0.0000  6 Pt 2.62-2.92
In 0.5000 0.5000 0.3382  6 Pt 2.69-2.85
Pt 0.0000 0.0000 0.5273  2 Al 2.62-2.92, 4 In 2.72
Pt 0.5000 0.5000 0.8530  4 Al 2.63, 2 In 2.69-2.85

***

What did the sixth record say?
This record from the Alexandria database describes a relaxed structure of Cs2NiSbCl6. The functional is PBE.

Properties
- Space group: Fm-3m
- Raw formation energy: -1.189 eV/atom

Cell: 7.3667 7.3667 7.3667 Å, 60.00 60.00 60.00°
Closest atoms and distances in Å follow each position.
Element x y z (fractional)
Cs 0.2500 0.2500 0.2500  12 Cl 3.69
Cs 0.7500 0.7500 0.7500  12 Cl 3.69
Ni 0.0000 0.0000 0.0000  6 Cl 2.49
Sb 0.5000 0.5000 0.5000  6 Cl 2.72
Cl 0.2387 0.2387 0.7613  1 Ni 2.49, 1 Sb 2.72
Cl 0.2387 0.7613 0.2387  1 Ni 2.49, 1 Sb 2.72
Cl 0.2387 0.7613 0.7613  1 Ni 2.49, 1 Sb 2.72
Cl 0.7613 0.2387 0.2387  1 Ni 2.49, 1 Sb 2.72
Cl 0.7613 0.2387 0.7613  1 Ni 2.49, 1 Sb 2.72
Cl 0.7613 0.7613 0.2387  1 Ni 2.49, 1 Sb 2.72